Entry 1:
Ir2OsW: optimized geometry, PBE.

Summary:
As for the polymorph energy (0 for the lowest one): 0.134 eV per atom. The value obtained for the density is 21.21 Mg/m³. The formation energy from the elements comes out at -0.087 eV per atom.

Geometry as POSCAR:
```
Ir2OsW
1.0
4.5651 -1.3749 0.0000
4.5651 1.3749 0.0000
-0.8182 0.0000 4.7304
Ir Os W
2 1 1
Direct
0.0000 0.0000 0.0000 Ir
0.2437 0.2437 0.7352 Ir
0.7464 0.7464 0.2274 Os
0.4962 0.4962 0.4927 W
```

---

Entry 2:
IrOsW: optimized geometry, PBE.

Summary:
As for the polymorph energy (0 for the lowest one): 0.806 eV per atom. The value obtained for the density is 17.55 Mg/m³. The formation energy from the elements comes out at 0.605 eV per atom.

Geometry as POSCAR:
```
IrOsW
1.0
0.0000 2.9923 2.9923
2.9923 0.0000 2.9923
2.9923 2.9923 0.0000
Ir Os W
1 1 1
Direct
0.0000 0.0000 0.0000 Ir
0.2500 0.2500 0.2500 Os
0.5000 0.5000 0.5000 W
```

---

Entry 3:
Ir2OsW: optimized geometry, PBE.

Summary:
As for the polymorph energy (0 for the lowest one): 0.001 eV per atom. The value obtained for the density is 21.35 Mg/m³. The formation energy from the elements comes out at -0.220 eV per atom.

Geometry as POSCAR:
```
Ir2OsW
1.0
2.7695 0.0000 0.0000
0.0000 4.4038 0.0000
0.0000 0.0000 4.8380
Ir Os W
2 1 1
Direct
0.0000 0.0000 0.0000 Ir
0.0000 0.5000 0.3348 Ir
0.5000 0.5000 0.8425 Os
0.5000 0.0000 0.5124 W
```

---

Entry 4:
Ir2OsW: optimized geometry, PBE.

Summary:
As for the polymorph energy (0 for the lowest one): 1.284 eV per atom. The value obtained for the density is 14.25 Mg/m³. The formation energy from the elements comes out at 1.063 eV per atom.

Geometry as POSCAR:
```
Ir2OsW
1.0
-2.7322 2.7322 5.9193
2.7322 -2.7322 5.9193
2.7322 2.7322 -5.9193
Ir Os W
4 2 2
Direct
0.1153 0.6250 0.9903 Ir
0.3750 0.3653 0.4903 Ir
0.6347 0.1250 0.0097 Ir
0.8750 0.8847 0.5097 Ir
0.0000 0.0000 0.0000 Os
0.7500 0.2500 0.5000 Os
0.2500 0.7500 0.5000 W
0.5000 0.5000 0.0000 W
```

---

Entry 5:
IrOsW: optimized geometry, PBE.

Summary:
As for the polymorph energy (0 for the lowest one): 0.000 eV per atom. The value obtained for the density is 21.06 Mg/m³. The formation energy from the elements comes out at -0.201 eV per atom.

Geometry as POSCAR:
```
IrOsW
1.0
1.3882 -7.2590 0.0000
1.3882 7.2590 0.0000
0.0000 0.0000 4.4308
Ir Os W
2 2 2
Direct
0.0580 0.9420 0.7500 Ir
0.9420 0.0580 0.2500 Ir
0.2777 0.7223 0.2500 Os
0.7223 0.2777 0.7500 Os
0.3883 0.6117 0.7500 W
0.6117 0.3883 0.2500 W
```

---

Entry 6:
Ir2OsW: optimized geometry, PBE.

Summary:
As for the polymorph energy (0 for the lowest one): 0.739 eV per atom. The value obtained for the density is 20.60 Mg/m³. The formation energy from the elements comes out at 0.518 eV per atom.

Geometry as POSCAR:
```
Ir2OsW
1.0
0.0000 3.1267 3.1267
3.1267 0.0000 3.1267
3.1267 3.1267 0.0000
Ir Os W
2 1 1
Direct
0.2500 0.2500 0.2500 Ir
0.7500 0.7500 0.7500 Ir
0.0000 0.0000 0.0000 Os
0.5000 0.5000 0.5000 W
```

---

Entry 7:
Ir4OsW: optimized geometry, PBE.

Summary:
As for the polymorph energy (0 for the lowest one): 0.498 eV per atom. The value obtained for the density is 20.36 Mg/m³. The formation energy from the elements comes out at 0.514 eV per atom.

Geometry as POSCAR:
```
Ir4OsW
1.0
0.0000 3.5987 3.5987
3.5987 0.0000 3.5987
3.5987 3.5987 0.0000
Ir Os W
4 1 1
Direct
0.1246 0.1246 0.1246 Ir
0.1246 0.1246 0.6261 Ir
0.1246 0.6261 0.1246 Ir
0.6261 0.1246 0.1246 Ir
0.7500 0.7500 0.7500 Os
0.5000 0.5000 0.5000 W
```

---

Entry 8:
Ir2OsW: optimized geometry, PBE.

Summary:
As for the polymorph energy (0 for the lowest one): 0.493 eV per atom. The value obtained for the density is 20.63 Mg/m³. The formation energy from the elements comes out at 0.272 eV per atom.

Geometry as POSCAR:
```
Ir2OsW
1.0
3.3446 0.0000 0.0000
0.0000 3.3446 0.0000
0.0000 0.0000 5.4581
Ir Os W
2 1 1
Direct
0.0000 0.0000 0.2452 Ir
0.0000 0.0000 0.7548 Ir
0.5000 0.5000 0.0000 Os
0.5000 0.5000 0.5000 W
```

---

Entry 9:
Ir2OsW: optimized geometry, PBE.

Summary:
As for the polymorph energy (0 for the lowest one): 0.144 eV per atom. The value obtained for the density is 21.25 Mg/m³. The formation energy from the elements comes out at -0.076 eV per atom.

Geometry as POSCAR:
```
Ir2OsW
1.0
4.7395 0.0000 0.0000
0.0000 2.7744 0.0000
-1.5395 0.0000 4.5081
Ir Os W
2 1 1
Direct
0.0000 0.0000 0.0000 Ir
0.5000 0.5000 0.0000 Ir
0.0000 0.5000 0.5000 Os
0.5000 0.0000 0.5000 W
```

---

Entry 10:
Ir2Os3W2: optimized geometry, PBE.

Summary:
The value obtained for the density is 21.08 Mg/m³. The formation energy from the elements comes out at -0.046 eV per atom.

Geometry as POSCAR:
```
Ir2Os3W2
1.0
4.7799 0.0000 0.0000
-0.7978 4.7146 0.0000
-0.7637 -0.9488 4.6245
Ir Os W
2 3 2
Direct
0.0722 0.2810 0.1483 Ir
0.9278 0.7190 0.8517 Ir
0.3662 0.4281 0.7211 Os
0.5000 0.0000 0.0000 Os
0.6338 0.5719 0.2789 Os
0.2096 0.8456 0.4215 W
0.7904 0.1544 0.5785 W
```

---

Entry 11:
Ir2OsW: optimized geometry, PBE.

Summary:
As for the polymorph energy (0 for the lowest one): 0.151 eV per atom. The value obtained for the density is 21.26 Mg/m³. The formation energy from the elements comes out at -0.070 eV per atom.

Geometry as POSCAR:
```
Ir2OsW
1.0
2.7427 0.0000 0.0000
0.0000 2.7427 0.0000
0.0000 0.0000 7.8766
Ir Os W
2 1 1
Direct
0.0000 0.0000 0.2458 Ir
0.0000 0.0000 0.7542 Ir
0.5000 0.5000 0.0000 Os
0.5000 0.5000 0.5000 W
```

---

Entry 12:
Ir2OsW: optimized geometry, PBE.

Summary:
As for the polymorph energy (0 for the lowest one): 0.000 eV per atom. The value obtained for the density is 21.34 Mg/m³. The formation energy from the elements comes out at -0.221 eV per atom.

Geometry as POSCAR:
```
Ir2OsW
1.0
3.8727 0.0000 0.0000
0.0000 3.8727 0.0000
0.0000 0.0000 3.9348
Ir Os W
2 1 1
Direct
0.0000 0.5000 0.0000 Ir
0.5000 0.0000 0.0000 Ir
0.0000 0.0000 0.5000 Os
0.5000 0.5000 0.5000 W
```

---

Entry 13:
IrOsW: optimized geometry, PBE.

Summary:
As for the polymorph energy (0 for the lowest one): 0.542 eV per atom. The value obtained for the density is 17.73 Mg/m³. The formation energy from the elements comes out at 0.341 eV per atom.

Geometry as POSCAR:
```
IrOsW
1.0
0.0000 2.9819 2.9819
2.9819 0.0000 2.9819
2.9819 2.9819 0.0000
Ir Os W
1 1 1
Direct
0.0000 0.0000 0.0000 Ir
0.5000 0.5000 0.5000 Os
0.7500 0.7500 0.7500 W
```

---

Entry 14:
Ir2OsW: optimized geometry, PBE.

Summary:
As for the polymorph energy (0 for the lowest one): 0.470 eV per atom. The value obtained for the density is 20.68 Mg/m³. The formation energy from the elements comes out at 0.249 eV per atom.

Geometry as POSCAR:
```
Ir2OsW
1.0
3.3188 0.0000 0.0000
0.0000 3.3188 0.0000
0.0000 0.0000 5.5291
Ir Os W
2 1 1
Direct
0.0000 0.0000 0.0000 Ir
0.5000 0.5000 0.2403 Ir
0.0000 0.0000 0.4846 Os
0.5000 0.5000 0.7490 W
```

---

Entry 15:
Ir2OsW: optimized geometry, PBE.

Summary:
As for the polymorph energy (0 for the lowest one): 0.074 eV per atom. The value obtained for the density is 21.27 Mg/m³. The formation energy from the elements comes out at -0.147 eV per atom.

Geometry as POSCAR:
```
Ir2OsW
1.0
-1.9590 1.9590 3.8566
1.9590 -1.9590 3.8566
1.9590 1.9590 -3.8566
Ir Os W
2 1 1
Direct
0.0000 0.0000 0.0000 Ir
0.7500 0.2500 0.5000 Ir
0.5000 0.5000 0.0000 Os
0.2500 0.7500 0.5000 W
```

---

Entry 16:
IrOsW: optimized geometry, PBE.

Summary:
As for the polymorph energy (0 for the lowest one): 0.179 eV per atom. The value obtained for the density is 20.93 Mg/m³. The formation energy from the elements comes out at -0.022 eV per atom.

Geometry as POSCAR:
```
IrOsW
1.0
-1.3835 1.3835 5.8667
1.3835 -1.3835 5.8667
1.3835 1.3835 -5.8667
Ir Os W
1 1 1
Direct
0.0000 0.0000 0.0000 Ir
0.3338 0.3338 0.0000 Os
0.6688 0.6688 0.0000 W
```

---

Entry 17:
YIrOsW2: optimized geometry, PBE.

Summary:
The value obtained for the density is 12.63 Mg/m³. The formation energy from the elements comes out at 1.400 eV per atom.

Geometry as POSCAR:
```
YIrOsW2
1.0
4.7888 0.0000 0.0000
0.0000 4.7888 0.0000
0.0000 0.0000 4.8085
Y Ir Os W
1 1 1 2
Direct
0.0000 0.0000 0.0000 Y
0.5000 0.5000 0.5000 Ir
0.5000 0.5000 0.0000 Os
0.0000 0.5000 0.5000 W
0.5000 0.0000 0.5000 W
```

---

Entry 18:
YIr2Os: optimized geometry, PBE.

Summary:
As for the polymorph energy (0 for the lowest one): 0.155 eV per atom. The value obtained for the density is 16.24 Mg/m³. The formation energy from the elements comes out at 0.046 eV per atom.

Geometry as POSCAR:
```
YIr2Os
1.0
2.9075 0.0000 0.0000
0.0000 2.9075 0.0000
0.0000 0.0000 8.0240
Y Ir Os
1 2 1
Direct
0.0000 0.0000 0.0000 Y
0.0000 0.0000 0.5022 Ir
0.5000 0.5000 0.2715 Ir
0.5000 0.5000 0.7109 Os
```

---

Entry 19:
YIrOs2: optimized geometry, PBE.

Summary:
As for the polymorph energy (0 for the lowest one): 0.230 eV per atom. The value obtained for the density is 16.34 Mg/m³. The formation energy from the elements comes out at 0.278 eV per atom.

Geometry as POSCAR:
```
YIrOs2
1.0
2.9678 0.0000 0.0000
0.0000 4.7063 0.0000
0.0000 0.0000 4.8142
Y Ir Os
1 1 2
Direct
0.0000 0.0000 0.0000 Y
0.5000 0.5000 0.0000 Ir
0.0000 0.5000 0.5000 Os
0.5000 0.0000 0.5000 Os
```

---

Entry 20:
YIrOs4: optimized geometry, PBE.

Summary:
The value obtained for the density is 17.17 Mg/m³. The formation energy from the elements comes out at 0.311 eV per atom.

Geometry as POSCAR:
```
YIrOs4
1.0
0.0000 3.6936 3.6936
3.6936 0.0000 3.6936
3.6936 3.6936 0.0000
Y Ir Os
1 1 4
Direct
0.0000 0.0000 0.0000 Y
0.2500 0.2500 0.2500 Ir
0.1296 0.6235 0.6235 Os
0.6235 0.1296 0.6235 Os
0.6235 0.6235 0.1296 Os
0.6235 0.6235 0.6235 Os
```

---

Entry 21:
YIr2Os: optimized geometry, PBE.

Summary:
As for the polymorph energy (0 for the lowest one): 0.144 eV per atom. The value obtained for the density is 16.04 Mg/m³. The formation energy from the elements comes out at 0.036 eV per atom.

Geometry as POSCAR:
```
YIr2Os
1.0
-1.4386 2.3424 5.0962
1.4386 -2.3424 5.0962
1.4386 2.3424 -5.0962
Y Ir Os
1 2 1
Direct
0.0000 0.0000 0.0000 Y
0.4934 0.4934 0.0000 Ir
0.7237 0.2237 0.5000 Ir
0.2774 0.7774 0.5000 Os
```

---

Entry 22:
YIrOs: optimized geometry, PBE.

Summary:
As for the polymorph energy (0 for the lowest one): 1.652 eV per atom. The value obtained for the density is 12.22 Mg/m³. The formation energy from the elements comes out at 1.102 eV per atom.

Geometry as POSCAR:
```
YIrOs
1.0
0.0000 3.1758 3.1758
3.1758 0.0000 3.1758
3.1758 3.1758 0.0000
Y Ir Os
1 1 1
Direct
0.0000 0.0000 0.0000 Y
0.2500 0.2500 0.2500 Ir
0.7500 0.7500 0.7500 Os
```

---

Entry 23:
YIr2Os: optimized geometry, PBE.

Summary:
As for the polymorph energy (0 for the lowest one): 0.022 eV per atom. The value obtained for the density is 16.16 Mg/m³. The formation energy from the elements comes out at -0.087 eV per atom.

Geometry as POSCAR:
```
YIr2Os
1.0
2.8600 0.0000 0.0000
0.0000 3.9141 0.0000
0.0000 0.0000 6.0896
Y Ir Os
1 2 1
Direct
0.0000 0.0000 0.0000 Y
0.5000 0.5000 0.2864 Ir
0.5000 0.5000 0.7136 Ir
0.0000 0.0000 0.5000 Os
```

---

Entry 24:
YIrOs2: optimized geometry, PBE.

Summary:
As for the polymorph energy (0 for the lowest one): 0.017 eV per atom. The value obtained for the density is 16.09 Mg/m³. The formation energy from the elements comes out at 0.065 eV per atom.

Geometry as POSCAR:
```
YIrOs2
1.0
2.8968 0.0000 0.0000
0.0000 4.3891 0.0000
-1.4358 0.0000 5.3698
Y Ir Os
1 1 2
Direct
0.0000 0.0000 0.0000 Y
0.6064 0.5000 0.2164 Ir
0.3184 0.5000 0.6414 Os
0.7410 0.0000 0.4928 Os
```

---

Entry 25:
Y2IrOs: optimized geometry, PBE.

Summary:
The value obtained for the density is 11.19 Mg/m³. The formation energy from the elements comes out at 0.075 eV per atom.

Geometry as POSCAR:
```
Y2IrOs
1.0
1.6704 0.9644 8.6029
-1.6704 0.9644 8.6029
0.0000 -1.9288 8.6029
Y Ir Os
2 1 1
Direct
0.2493 0.2493 0.2493 Y
0.7507 0.7507 0.7507 Y
0.0000 0.0000 0.0000 Ir
0.5000 0.5000 0.5000 Os
```

---

Entry 26:
Y2IrOs: optimized geometry, PBE.

Summary:
The value obtained for the density is 10.99 Mg/m³. The formation energy from the elements comes out at 0.165 eV per atom.

Geometry as POSCAR:
```
Y2IrOs
1.0
-3.7804 3.7804 2.9618
3.7804 -3.7804 2.9618
3.7804 3.7804 -2.9618
Y Ir Os
4 2 2
Direct
0.1227 0.6250 0.9977 Y
0.3750 0.3727 0.4977 Y
0.6273 0.1250 0.0023 Y
0.8750 0.8773 0.5023 Y
0.0000 0.0000 0.0000 Ir
0.7500 0.2500 0.5000 Ir
0.2500 0.7500 0.5000 Os
0.5000 0.5000 0.0000 Os
```

---

Entry 27:
YIr2Os: optimized geometry, PBE.

Summary:
As for the polymorph energy (0 for the lowest one): 0.150 eV per atom. The value obtained for the density is 16.30 Mg/m³. The formation energy from the elements comes out at 0.041 eV per atom.

Geometry as POSCAR:
```
YIr2Os
1.0
4.8095 0.0000 0.0000
0.0000 4.8095 0.0000
0.0000 0.0000 2.9219
Y Ir Os
1 2 1
Direct
0.0000 0.0000 0.0000 Y
0.0000 0.5000 0.5000 Ir
0.5000 0.0000 0.5000 Ir
0.5000 0.5000 0.0000 Os
```

---

Entry 28:
YIrOs2: optimized geometry, PBE.

Summary:
As for the polymorph energy (0 for the lowest one): 0.168 eV per atom. The value obtained for the density is 15.89 Mg/m³. The formation energy from the elements comes out at 0.216 eV per atom.

Geometry as POSCAR:
```
YIrOs2
1.0
2.7960 0.0000 0.0000
0.0000 3.9896 0.0000
0.0000 0.0000 6.1964
Y Ir Os
1 1 2
Direct
0.0000 0.0000 0.0000 Y
0.0000 0.0000 0.5000 Ir
0.5000 0.5000 0.2964 Os
0.5000 0.5000 0.7036 Os
```

---

Entry 29:
YIr2Os: optimized geometry, PBE.

Summary:
As for the polymorph energy (0 for the lowest one): 0.415 eV per atom. The value obtained for the density is 12.16 Mg/m³. The formation energy from the elements comes out at 0.306 eV per atom.

Geometry as POSCAR:
```
YIr2Os
1.0
-2.3266 2.3266 8.3733
2.3266 -2.3266 8.3733
2.3266 2.3266 -8.3733
Y Ir Os
2 4 2
Direct
0.0000 0.0000 0.0000 Y
0.7500 0.2500 0.5000 Y
0.2672 0.6250 0.1422 Ir
0.3750 0.5172 0.6422 Ir
0.4828 0.1250 0.8578 Ir
0.8750 0.7328 0.3578 Ir
0.2500 0.7500 0.5000 Os
0.5000 0.5000 0.0000 Os
```

---

Entry 30:
YIrOs2: optimized geometry, PBE.

Summary:
As for the polymorph energy (0 for the lowest one): 0.196 eV per atom. The value obtained for the density is 16.63 Mg/m³. The formation energy from the elements comes out at 0.244 eV per atom.

Geometry as POSCAR:
```
YIrOs2
1.0
2.8461 -4.0743 0.0000
2.8461 4.0743 0.0000
0.0000 0.0000 2.8488
Y Ir Os
1 1 2
Direct
0.0000 0.0000 0.0000 Y
0.5000 0.5000 0.0000 Ir
0.0000 0.5000 0.5000 Os
0.5000 0.0000 0.5000 Os
```

---

The evaluated magnetic moment for the records listed, in turn: 0.0 0.0 0.0 0.0 0.0 0.5 0.0 0.3 0.0 0.0 0.0 0.0 0.0 0.0 0.0 0.0 0.0 0.0 0.0 0.0 0.0 0.0 0.0 0.0 0.2 0.0 0.8 0.0 0.0 0.0 μB/cell.
The evaluated energy for the records listed, in turn: -10.5632 -10.4097 -10.6958 -9.4135 -11.2157 -9.9579 -9.4234 -10.2040 -10.5527 -11.0916 -10.5460 -10.6972 -10.6736 -10.2276 -10.6234 -11.0363 -9.0920 -8.8077 -9.1683 -9.7292 -8.8183 -7.7498 -8.9409 -9.3813 -8.1795 -8.0901 -8.8127 -9.2302 -8.5477 -9.2018 eV per atom.